Crystalline Mg8NiIr2 at its relaxed geometry, computed with PBE.

Output
calculated formation energy = -228 meV per atom
V = 393.2 Å³ per cell

a = 14.8865 Å, b = 4.5350 Å, c = 6.3140 Å
α = 90.00°, β = 112.70°, γ = 90.00°
Last column: nearest neighbours and their distance in Å.
Space group C2/m (No. 12)
Unique sites:
1 Mg 0.0146 0.0000 0.2448  1 Ir 2.75, 2 Ni 2.84, 6 Mg 2.95-3.01
2 Mg 0.1249 0.5000 0.9229  1 Ni 2.60, 2 Ir 2.71, 3 Mg 2.86-2.87
3 Mg 0.1582 0.5000 0.4106  1 Ni 2.62, 3 Ir 2.76-2.83, 2 Mg 2.83-2.92
4 Mg 0.1820 0.0000 0.7276  3 Ir 2.79-2.92, 8 Mg 2.83-3.10
5 Ni 0.0000 0.5000 0.5000  8 Mg 2.60-2.84
6 Ir 0.1850 0.0000 0.1722  9 Mg 2.71-2.92